Density functional theory data (PBE+U) for a relaxed ZnNi4O5 crystal.

Geometry as CIF:
```
data_ZnNi4O5
_space_group_name_H-M_alt 'I m m m'
_space_group_IT_number 71
_space_group_name_Hall '-I 2 2'
_cell_length_a 3.004
_cell_length_b 4.241
_cell_length_c 15.034
_cell_angle_alpha 90.00
_cell_angle_beta 90.00
_cell_angle_gamma 90.00
loop_
_atom_site_label
_atom_site_type_symbol
_atom_site_fract_x
_atom_site_fract_y
_atom_site_fract_z
_atom_site_occupancy
Zn1 Zn 0.000 0.000 0.000 1
Ni1 Ni 0.000 0.000 0.201 1
Ni2 Ni 0.000 0.000 0.399 1
O1 O 0.000 0.500 0.000 1
O2 O 0.000 0.500 0.200 1
O3 O 0.000 0.500 0.397 1
```

Summary:
total energy	-94.71	eV per cell
crystal system	orthorhombic
magnetization	16.000	μB/cell
V	9.6	A^3/atom



Density functional theory data (PBE+U) for a relaxed ZnNi2O2 crystal.

Geometry as CIF:
```
data_ZnNi2O2
_space_group_name_H-M_alt 'I 4/m m m'
_space_group_IT_number 139
_space_group_name_Hall '-I 4 2'
_cell_length_a 3.726
_cell_length_b 3.726
_cell_length_c 11.595
_cell_angle_alpha 90.00
_cell_angle_beta 90.00
_cell_angle_gamma 90.00
loop_
_atom_site_label
_atom_site_type_symbol
_atom_site_fract_x
_atom_site_fract_y
_atom_site_fract_z
_atom_site_occupancy
Zn1 Zn 0.000 0.000 0.000 1
Ni1 Ni 0.000 0.000 0.280 1
O1 O 0.000 0.500 0.250 1
```

Summary:
polymorph energy (0 for the lowest one)	0	kJ/mol of formula units
crystal system	tetragonal
magnetization	0.000	μB/cell
V	16.1	A^3/atom